Entry one
DFT (PBE-GGA) results for an optimized crystal structure of In2Sn2Bi.

abc: 3.505 3.505 11.937
angles: 98.44 98.44 90.00
Sites, in units of the cell vectors:
1 In 0.604 0.604 0.208
2 In 0.396 0.396 0.792
3 Sn 0.798 0.798 0.595
4 Sn 0.202 0.202 0.405
5 Bi 0.000 0.000 0.000

Properties
Its volume is 28.70 Å³/atom.



Entry two
DFT (PBE-GGA) results for an optimized crystal structure of In2Sn2Bi.

abc: 4.311 4.311 8.602
angles: 75.49 75.49 90.00
Sites, in units of the cell vectors:
1 In 0.750 0.250 0.500
2 In 0.250 0.750 0.500
3 Bi 0.000 0.000 0.000
4 Sn 0.404 0.404 0.193
5 Sn 0.596 0.596 0.807

Properties
Its volume is 29.90 Å³/atom.



Entry three
DFT (PBE-GGA) results for an optimized crystal structure of In2Sn2Bi.

abc: 8.985 8.985 3.537
angles: 90.00 90.00 90.00
Sites, in units of the cell vectors:
1 In 0.338 0.838 0.000
2 In 0.838 0.662 0.000
3 In 0.662 0.162 0.000
4 In 0.162 0.338 0.000
5 Bi 0.000 0.000 0.000
6 Bi 0.500 0.500 0.000
7 Sn 0.134 0.634 0.500
8 Sn 0.634 0.866 0.500
9 Sn 0.866 0.366 0.500
10 Sn 0.366 0.134 0.500

Properties
Its volume is 28.56 Å³/atom.



Entry four
DFT (PBE-GGA) results for an optimized crystal structure of In2Sn2Bi.

abc: 9.023 9.023 3.548
angles: 90.00 90.00 90.00
Sites, in units of the cell vectors:
1 In 0.137 0.637 0.500
2 In 0.637 0.863 0.500
3 In 0.863 0.363 0.500
4 In 0.363 0.137 0.500
5 Bi 0.000 0.000 0.000
6 Bi 0.500 0.500 0.000
7 Sn 0.338 0.838 0.000
8 Sn 0.838 0.662 0.000
9 Sn 0.662 0.162 0.000
10 Sn 0.162 0.338 0.000

Properties
Its volume is 28.88 Å³/atom.



Relative to the most stable one, in eV/atom, the structures come out at entry one 0.000; entry two 0.087; entry three 0.054; entry four 0.030.



Entry one
DFT (PBE-GGA) results for an optimized crystal structure of In12Sn2Bi5.

abc: 9.562 8.992 8.871
angles: 111.39 122.61 90.00
Sites, in units of the cell vectors:
1 In 0.164 0.118 0.328
2 In 0.353 0.810 0.311
3 In 0.958 0.810 0.311
4 In 0.360 0.383 0.180
5 In 0.821 0.383 0.180
6 In 0.599 0.663 0.198
7 In 0.401 0.337 0.802
8 In 0.640 0.617 0.820
9 In 0.179 0.617 0.820
10 In 0.647 0.190 0.689
11 In 0.042 0.190 0.689
12 In 0.836 0.882 0.672
13 Sn 0.761 0.000 0.000
14 Sn 0.239 0.000 0.000
15 Bi 0.760 0.478 0.520
16 Bi 0.649 0.060 0.297
17 Bi 0.000 0.500 0.000
18 Bi 0.351 0.940 0.703
19 Bi 0.240 0.522 0.480

Properties
Its volume is 30.48 Å³/atom.



Entry two
DFT (PBE-GGA) results for an optimized crystal structure of In12Sn2Bi5.

abc: 8.719 10.240 8.581
angles: 117.66 90.00 115.20
Sites, in units of the cell vectors:
1 In 0.935 0.870 0.085
2 In 0.106 0.612 0.828
3 In 0.507 0.612 0.828
4 In 0.150 0.780 0.537
5 In 0.630 0.780 0.537
6 In 0.537 0.074 0.717
7 In 0.463 0.926 0.283
8 In 0.850 0.220 0.463
9 In 0.370 0.220 0.463
10 In 0.894 0.388 0.172
11 In 0.493 0.388 0.172
12 In 0.065 0.130 0.915
13 Sn 0.685 0.000 0.000
14 Sn 0.315 0.000 0.000
15 Bi 0.236 0.473 0.461
16 Bi 0.267 0.534 0.085
17 Bi 0.000 0.000 0.500
18 Bi 0.733 0.466 0.915
19 Bi 0.764 0.527 0.539

Properties
Its volume is 31.32 Å³/atom.



Relative to the most stable one, in eV/atom, the structures come out at entry one 0.000; entry two 0.024.